DFT (PBE-GGA) results for a relaxed NbCr3B crystal.

## Properties
As for the calculated volume: 17.430 Å³ per atom. The crystal system is cubic. As for the energy of formation from the pure elements: 2668.8 meV/atom.

Geometry as CIF:
```
data_NbCr3B
_cell_length_a 4.434
_cell_length_b 4.434
_cell_length_c 4.434
_cell_angle_alpha 90.00
_cell_angle_beta 90.00
_cell_angle_gamma 90.00
_space_group_name_H-M_alt 'P 1'
_space_group_IT_number 1
loop_
_space_group_symop_operation_xyz
'x,y,z'
loop_
_atom_site_label
_atom_site_type_symbol
_atom_site_fract_x
_atom_site_fract_y
_atom_site_fract_z
_atom_site_occupancy
Nb1 Nb 0.000 0.000 0.000 1
Cr1 Cr 0.000 0.000 0.500 1
Cr2 Cr 0.000 0.500 0.000 1
Cr3 Cr 0.500 0.000 0.000 1
B1 B 0.500 0.500 0.500 1
```